[1]
Material: PHAu
Method: DFT, PBE
State: relaxed

Unit cell a=6.520 b=4.644 c=5.032 alpha=90.07 beta=90.00 gamma=134.59
Positions (direct):
Au (0.211, 0.423, 0.000)
Au (0.789, 0.577, 0.000)
P (0.500, 0.000, 0.701)
P (0.500, 0.000, 0.299)
H (0.999, 0.999, 0.779)
H (0.001, 0.001, 0.221)

Calculated values
magnetization	0.000	μB/cell
calculated volume	108.5	Å³/cell
space group	C2/m, No. 12
E_tot	-11.37	eV per formula unit

---

[2]
Material: SrTl2Au
Method: DFT, PBE
State: relaxed

Unit cell a=4.581 b=4.581 c=12.235 alpha=79.21 beta=79.21 gamma=90.00
Positions (direct):
Tl (0.375, 0.355, 0.750)
Tl (0.105, 0.625, 0.250)
Tl (0.875, 0.895, 0.750)
Tl (0.645, 0.125, 0.250)
Sr (0.500, 0.500, 0.000)
Sr (0.250, 0.750, 0.500)
Au (0.750, 0.250, 0.500)
Au (0.000, 0.000, 0.000)

Calculated values
magnetization	0.000	μB/cell
calculated volume	247.6	Å³/cell
space group	I-42d, No. 122
E_tot	-10.70	eV per formula unit

---

[3]
Material: Ba2TmThBi4
Method: DFT, PBE
State: relaxed

Unit cell a=4.748 b=8.120 c=8.573 alpha=108.83 beta=90.00 gamma=90.00
Positions (direct):
Ba (0.500, 0.000, 0.500)
Ba (0.000, 0.500, 0.500)
Bi (0.500, 0.756, 0.784)
Bi (0.000, 0.732, 0.212)
Bi (0.000, 0.268, 0.788)
Bi (0.500, 0.244, 0.216)
Th (0.000, 0.000, 0.000)
Tm (0.500, 0.500, 0.000)

Calculated values
magnetization	0.000	μB/cell
calculated volume	312.8	Å³/cell
space group	P2/m, No. 10
E_tot	-37.37	eV per formula unit

---

[4]
Material: Ba2Na2Zn
Method: DFT, PBE
State: relaxed

Unit cell a=8.324 b=8.324 c=5.934 alpha=90.00 beta=90.00 gamma=90.00
Positions (direct):
Zn (0.500, 0.500, 0.000)
Zn (0.000, 0.000, 0.000)
Na (0.138, 0.362, 0.000)
Na (0.638, 0.138, 0.000)
Na (0.862, 0.638, 0.000)
Na (0.362, 0.862, 0.000)
Ba (0.183, 0.683, 0.500)
Ba (0.317, 0.183, 0.500)
Ba (0.817, 0.317, 0.500)
Ba (0.683, 0.817, 0.500)

Calculated values
offset from the most stable computed form	0.185	eV per atom
magnetization	0.000	μB/cell
calculated volume	411.2	Å³/cell
space group	P4/mbm, No. 127
E_tot	-7.28	eV per formula unit

---

[5]
Material: RbCF3
Method: DFT, PBE
State: relaxed

Unit cell a=5.017 b=5.017 c=5.017 alpha=90.00 beta=90.00 gamma=90.00
Each line ends with the local moment (μB).
Positions (direct):
F (0.000, 0.500, 0.000)  0.07
F (0.500, 0.000, 0.000)  0.16
F (0.000, 0.000, 0.500)  0.08
Rb (0.000, 0.000, 0.000)  -0.03
C (0.500, 0.500, 0.500)  -0.76

Calculated values
offset from the most stable computed form	1.450	eV per atom
magnetization	1.091	μB/cell
calculated volume	126.3	Å³/cell
space group	Pm-3m, No. 221
uncorrected formation energy	0.64	eV per atom
E_tot	-12.60	eV per formula unit

---

[6]
Material: Zn3FeAs
Method: DFT, PBE
State: relaxed

Unit cell a=4.609 b=4.609 c=4.609 alpha=90.00 beta=90.00 gamma=90.00
Each line ends with the local moment (μB).
Positions (direct):
Zn (0.000, 0.500, 0.000)  -0.04
Zn (0.500, 0.000, 0.000)  -0.06
Zn (0.000, 0.000, 0.500)  -0.01
Fe (0.000, 0.000, 0.000)  2.15
As (0.500, 0.500, 0.500)  0.11

Calculated values
offset from the most stable computed form	0.000	eV per atom
magnetization	2.209	μB/cell
calculated volume	97.9	Å³/cell
space group	Pm-3m, No. 221
E_tot	-13.56	eV per formula unit

---

[7]
Material: KTiCrAg2
Method: DFT, PBE
State: relaxed

Unit cell a=5.179 b=5.746 c=5.179 alpha=90.00 beta=90.00 gamma=90.00
Each line ends with the local moment (μB).
Positions (direct):
Ti (0.000, 0.000, 0.000)  1.60
Ag (0.500, 0.000, 0.000)  0.04
Ag (0.000, 0.000, 0.500)  0.02
K (0.000, 0.500, 0.000)  0.06
Cr (0.500, 0.500, 0.500)  4.26

Calculated values
magnetization	7.274	μB/cell
calculated volume	154.1	Å³/cell
space group	P4/mmm, No. 123
E_tot	-17.26	eV per formula unit

---

[8]
Material: VPdS2
Method: DFT, PBE
State: relaxed

Unit cell a=7.014 b=3.529 c=12.010 alpha=90.00 beta=90.00 gamma=90.00
Positions (direct):
V (0.066, 0.250, 0.584)
V (0.434, 0.750, 0.084)
V (0.566, 0.250, 0.916)
V (0.934, 0.750, 0.416)
Pd (0.730, 0.250, 0.273)
Pd (0.770, 0.750, 0.773)
Pd (0.270, 0.750, 0.727)
Pd (0.230, 0.250, 0.227)
S (0.776, 0.250, 0.495)
S (0.012, 0.250, 0.766)
S (0.724, 0.750, 0.995)
S (0.276, 0.250, 0.005)
S (0.488, 0.750, 0.266)
S (0.988, 0.750, 0.234)
S (0.512, 0.250, 0.734)
S (0.224, 0.750, 0.505)

Calculated values
magnetization	0.000	μB/cell
calculated volume	297.3	Å³/cell
space group	Pnma, No. 62
uncorrected formation energy	-0.57	eV per atom
E_tot	-24.83	eV per formula unit